Record 1
Density functional theory data (PBE) for a relaxed InAg4Cl crystal.

Properties
**DOS at the Fermi energy**: 0.71 states/eV per cell
**E_tot**: -16.1 eV/cell
**Formation energy without anion corrections**: -12 meV/atom

a = 5.652 Å, b = 5.652 Å, c = 5.652 Å
α = 60.00°, β = 60.00°, γ = 60.00°
Element x y z (fractional)
Ag1 0.375 0.375 0.375
Ag2 0.375 0.875 0.375
Ag3 0.375 0.375 0.875
Ag4 0.875 0.375 0.375
In1 0.000 0.000 0.000
Cl1 0.750 0.750 0.750


Record 2
Density functional theory data (PBE) for a relaxed LiY2Sb crystal.

Properties
**DOS at the Fermi energy**: 2.82 states/eV per cell
**E_tot**: -20.7 eV/cell
**Formation energy without anion corrections**: -433 meV/atom

a = 4.122 Å, b = 4.122 Å, c = 6.402 Å
α = 90.00°, β = 90.00°, γ = 90.00°
Element x y z (fractional)
Y1 0.000 0.000 0.964
Y2 0.500 0.500 0.269
Li1 0.000 0.000 0.503
Sb1 0.500 0.500 0.764


Record 3
Density functional theory data (PBE) for a relaxed Pm6Sm2DyEr crystal.

Properties
**DOS at the Fermi energy**: 27.79 states/eV per cell
**E_tot**: -91.9 eV/cell
**DFT formation energy**: 1.15 eV per formula unit

a = 9.717 Å, b = 8.939 Å, c = 8.939 Å
α = 118.13°, β = 94.08°, γ = 94.08°
Element x y z (fractional)
Pm1 0.055 0.122 0.757
Pm2 0.119 0.709 0.496
Pm3 0.945 0.878 0.243
Pm4 0.445 0.243 0.878
Pm5 0.311 0.985 0.429
Pm6 0.381 0.504 0.291
Pm7 0.555 0.757 0.122
Pm8 0.881 0.291 0.504
Pm9 0.619 0.496 0.709
Pm10 0.189 0.571 0.015
Pm11 0.689 0.015 0.571
Pm12 0.811 0.429 0.985
Sm1 0.544 0.198 0.299
Sm2 0.956 0.701 0.802
Sm3 0.044 0.299 0.198
Sm4 0.456 0.802 0.701
Er1 0.750 0.591 0.409
Er2 0.250 0.409 0.591
Dy1 0.250 0.977 0.023
Dy2 0.750 0.023 0.977


Record 4
Density functional theory data (PBE) for a relaxed Na2MgTlRu crystal.

Properties
**DOS at the Fermi energy**: 3.80 states/eV per cell
**E_tot**: -11.7 eV/cell
**DFT formation energy**: 4.16 eV per formula unit

a = 5.389 Å, b = 4.891 Å, c = 5.389 Å
α = 90.00°, β = 90.00°, γ = 90.00°
Element x y z (fractional)
Tl1 0.500 0.500 0.500
Mg1 0.000 0.000 0.000
Na1 0.000 0.000 0.500
Na2 0.500 0.000 0.000
Ru1 0.000 0.500 0.000


Record 5
Density functional theory data (PBE) for a relaxed Pr2Si crystal.

Properties
**DOS at the Fermi energy**: 15.21 states/eV per cell
**E_tot**: -65.1 eV/cell
**Formation energy without anion corrections**: -433 meV/atom

a = 4.314 Å, b = 9.407 Å, c = 8.898 Å
α = 90.00°, β = 104.03°, γ = 90.00°
Element x y z (fractional)
Pr1 0.029 0.004 0.057
Pr2 0.374 0.821 0.747
Pr3 0.626 0.321 0.253
Pr4 0.695 0.921 0.390
Pr5 0.305 0.421 0.610
Pr6 0.159 0.654 0.318
Pr7 0.841 0.154 0.682
Pr8 0.971 0.504 0.943
Si1 0.456 0.246 0.913
Si2 0.799 0.643 0.598
Si3 0.201 0.143 0.402
Si4 0.544 0.746 0.087


Record 6
Density functional theory data (PBE) for a relaxed Tb5Ho6Tm2 crystal.

Properties
**DOS at the Fermi energy**: 30.84 states/eV per cell
**E_tot**: -116.6 eV/cell
**DFT formation energy**: 1.28 eV per formula unit

a = 3.542 Å, b = 11.513 Å, c = 20.132 Å
α = 90.00°, β = 90.00°, γ = 90.00°
Element x y z (fractional)
Ho1 0.000 0.559 0.419
Ho2 0.000 0.582 0.131
Ho3 0.500 0.827 0.362
Ho4 0.000 0.059 0.081
Ho5 0.500 0.327 0.138
Ho6 0.000 0.418 0.869
Ho7 0.500 0.673 0.862
Ho8 0.000 0.082 0.369
Ho9 0.000 0.941 0.919
Ho10 0.500 0.173 0.638
Ho11 0.000 0.441 0.581
Ho12 0.000 0.918 0.631
Tb1 0.500 0.301 0.449
Tb2 0.500 0.500 0.000
Tb3 0.500 0.913 0.772
Tb4 0.500 0.801 0.051
Tb5 0.500 0.087 0.228
Tb6 0.500 0.587 0.272
Tb7 0.500 0.699 0.551
Tb8 0.500 0.413 0.728
Tb9 0.500 0.000 0.500
Tb10 0.500 0.199 0.949
Tm1 0.000 0.331 0.291
Tm2 0.000 0.169 0.791
Tm3 0.000 0.831 0.209
Tm4 0.000 0.669 0.709


Record 7
Density functional theory data (PBE) for a relaxed NaZr3In crystal.

Properties
**DOS at the Fermi energy**: 9.40 states/eV per cell
**E_tot**: -24.2 eV/cell
**DFT formation energy**: 5.47 eV per formula unit
**E above lowest polymorph**: 0.0000 eV/atom

a = 5.421 Å, b = 5.421 Å, c = 5.421 Å
α = 90.00°, β = 90.00°, γ = 90.00°
Element x y z (fractional)
Na1 0.500 0.500 0.500
Zr1 0.500 0.000 0.000
Zr2 0.000 0.000 0.500
Zr3 0.000 0.500 0.000
In1 0.000 0.000 0.000


Record 8
Density functional theory data (PBE) for a relaxed Nb2InTcN crystal.

Properties
**DOS at the Fermi energy**: 3.23 states/eV per cell
**E_tot**: -43.1 eV/cell
**Formation energy without anion corrections**: -305 meV/atom

a = 4.292 Å, b = 4.292 Å, c = 4.195 Å
α = 90.00°, β = 90.00°, γ = 90.00°
Element x y z (fractional)
Nb1 0.500 0.000 0.000
Nb2 0.000 0.500 0.000
In1 0.500 0.500 0.500
Tc1 0.000 0.000 0.500
N1 0.000 0.000 0.000


Record 9
Density functional theory data (PBE) for a relaxed K2UH3O3 crystal.

Properties
**DOS at the Fermi energy**: 3.59 states/eV per cell
**E_tot**: -49.9 eV/cell

a = 3.830 Å, b = 6.324 Å, c = 6.324 Å
α = 120.00°, β = 90.00°, γ = 90.00°
Element x y z (fractional)
O1 0.000 0.310 0.000
O2 0.000 0.000 0.310
O3 0.000 0.690 0.690
H1 0.500 0.824 0.000
H2 0.500 0.000 0.824
H3 0.500 0.176 0.176
K1 0.500 0.667 0.333
K2 0.500 0.333 0.667
U1 0.000 0.000 0.000


Record 10
Density functional theory data (PBE) for a relaxed Ag12BiAu6 crystal.

Properties
**DOS at the Fermi energy**: 6.89 states/eV per cell
**E_tot**: -55.6 eV/cell
**DFT formation energy**: 2.12 eV per formula unit

a = 7.720 Å, b = 7.720 Å, c = 7.720 Å
α = 106.41°, β = 106.41°, γ = 106.41°
Element x y z (fractional)
Ag1 0.887 0.113 0.500
Ag2 0.652 0.652 0.899
Ag3 0.500 0.113 0.887
Ag4 0.101 0.348 0.348
Ag5 0.652 0.899 0.652
Ag6 0.113 0.887 0.500
Ag7 0.500 0.887 0.113
Ag8 0.348 0.101 0.348
Ag9 0.887 0.500 0.113
Ag10 0.113 0.500 0.887
Ag11 0.899 0.652 0.652
Ag12 0.348 0.348 0.101
Au1 0.308 0.308 0.693
Au2 0.307 0.692 0.692
Au3 0.692 0.307 0.692
Au4 0.308 0.693 0.308
Au5 0.692 0.692 0.307
Au6 0.693 0.308 0.308
Bi1 0.000 0.000 0.000